VASP calculation (GGA-PBE) on a geometry-optimized CdRePt2 structure.

- uncorrected energy (eV/atom) = -6.328
- total magnetic moment (μB/cell) = 0.00
- V (Å³/cell) = 129
- formation energy from the elements (kJ/mol of atoms) = 3.3

Cell: 5.736 8.033 2.798 Å, 90.00 90.00 90.00°
Space group Cmmm (No. 65)
Asymmetric unit:
Cd: 0.000 0.000 0.000 (multiplicity 2)
Re: 0.000 0.500 0.000 (multiplicity 2)
Pt: 0.250 0.250 0.500 (multiplicity 4)